First-principles (PBE) data for crystalline Tm12Mn3H5 at its relaxed geometry, as listed in Alexandria via LeMat-Bulk.

a = 12.751 Å, b = 12.751 Å, c = 12.751 Å
α = 109.47°, β = 109.47°, γ = 109.47°
Atoms (fractional coordinates):
Mn (0.750, 0.375, 0.125)
Mn (0.250, 0.625, 0.875)
Mn (0.750, 0.875, 0.625)
Mn (0.625, 0.250, 0.375)
Mn (0.125, 0.250, 0.875)
Mn (0.375, 0.625, 0.250)
Mn (0.125, 0.875, 0.750)
Mn (0.250, 0.125, 0.375)
Mn (0.875, 0.125, 0.250)
Mn (0.625, 0.375, 0.750)
Mn (0.875, 0.750, 0.125)
Mn (0.375, 0.750, 0.625)
Tm (0.717, 0.593, 0.188)
Tm (0.812, 0.905, 0.029)
Tm (0.876, 0.283, 0.471)
Tm (0.405, 0.376, 0.593)
Tm (0.593, 0.876, 0.405)
Tm (0.593, 0.717, 0.688)
Tm (0.717, 0.124, 0.029)
Tm (0.093, 0.188, 0.217)
Tm (0.029, 0.405, 0.812)
Tm (0.124, 0.407, 0.095)
Tm (0.783, 0.312, 0.907)
Tm (0.529, 0.217, 0.124)
Tm (0.188, 0.095, 0.971)
Tm (0.471, 0.688, 0.095)
Tm (0.376, 0.405, 0.093)
Tm (0.405, 0.029, 0.312)
Tm (0.624, 0.029, 0.217)
Tm (0.029, 0.624, 0.717)
Tm (0.124, 0.717, 0.529)
Tm (0.312, 0.529, 0.405)
Tm (0.971, 0.595, 0.188)
Tm (0.907, 0.812, 0.783)
Tm (0.905, 0.093, 0.876)
Tm (0.783, 0.471, 0.376)
Tm (0.095, 0.907, 0.124)
Tm (0.688, 0.217, 0.593)
Tm (0.217, 0.529, 0.624)
Tm (0.376, 0.971, 0.783)
Tm (0.812, 0.907, 0.283)
Tm (0.595, 0.971, 0.688)
Tm (0.283, 0.407, 0.812)
Tm (0.283, 0.876, 0.971)
Tm (0.688, 0.471, 0.595)
Tm (0.095, 0.188, 0.471)
Tm (0.876, 0.593, 0.905)
Tm (0.595, 0.624, 0.407)
Tm (0.529, 0.312, 0.905)
Tm (0.217, 0.688, 0.093)
Tm (0.905, 0.812, 0.529)
Tm (0.407, 0.124, 0.595)
Tm (0.624, 0.595, 0.907)
Tm (0.471, 0.783, 0.876)
Tm (0.907, 0.095, 0.624)
Tm (0.971, 0.376, 0.283)
Tm (0.093, 0.905, 0.376)
Tm (0.407, 0.283, 0.312)
Tm (0.188, 0.093, 0.717)
Tm (0.312, 0.783, 0.407)
H (0.750, 0.625, 0.375)
H (0.250, 0.875, 0.125)
H (0.875, 0.625, 0.750)
H (0.000, 0.000, 0.000)
H (0.375, 0.125, 0.750)
H (0.000, 0.500, 0.000)
H (0.000, 0.000, 0.500)
H (0.125, 0.750, 0.375)
H (0.500, 0.500, 0.500)
H (0.500, 0.500, 0.000)
H (0.500, 0.000, 0.000)
H (0.625, 0.875, 0.250)
H (0.875, 0.250, 0.625)
H (0.625, 0.750, 0.875)
H (0.000, 0.500, 0.500)
H (0.125, 0.375, 0.250)
H (0.375, 0.250, 0.125)
H (0.500, 0.000, 0.500)
H (0.250, 0.375, 0.625)
H (0.750, 0.125, 0.875)

Space group: Ia-3d (230)


First-principles (PBE) data for crystalline UMnH3 at its relaxed geometry, as listed in Alexandria via LeMat-Bulk.

a = 3.554 Å, b = 3.554 Å, c = 3.554 Å
α = 90.00°, β = 90.00°, γ = 90.00°
Atoms (fractional coordinates):
Mn (0.000, 0.000, 0.000)
U (0.500, 0.500, 0.500)
H (0.000, 0.000, 0.500)
H (0.500, 0.000, 0.000)
H (0.000, 0.500, 0.000)

Space group: Pm-3m (221)


| no. | magnetic moment (μB per atom) | final energy (eV/atom) |
| --- | --- | --- |
| 1 | 0.00 | -4.96 |
| 2 | 0.24 | -6.23 |